Record 1
Density functional theory data (PBEsol) for a relaxed K2NbCuSe4 crystal.

Summary:
Magnetization, μB/cell: 0.00
SG: Fddd (70)

```
16
Lattice="5.687 0.000 0.000 2.843 6.663 0.000 2.843 0.000 11.871" Properties=species:S:1:pos:R:3 pbc="T T T"
Cu 4.265 3.331 5.936
Se 9.959 5.268 10.496
Nb 0.000 0.000 0.000
Cu 2.843 0.000 0.000
Se 5.694 1.937 7.311
K 7.109 3.331 1.664
Se 5.694 4.726 4.561
K 5.687 0.000 4.271
Se 4.258 5.268 1.375
Se 4.272 1.395 1.375
Nb 7.109 3.331 5.936
K 2.843 0.000 7.600
Se 8.523 4.726 7.311
Se 4.258 1.395 10.496
K 7.109 3.331 10.207
Se 2.836 1.937 4.561
```


Record 2
Density functional theory data (PBEsol) for a relaxed KNbCu2Se4 crystal.

Summary:
Magnetization, μB/cell: 0.00
SG: Ama2 (40)

```
16
Lattice="5.624 0.000 0.000 0.000 7.578 0.000 -2.812 0.000 9.358" Properties=species:S:1:pos:R:3 pbc="T T T"
Se 1.388 0.080 2.010
Se -1.424 7.498 7.348
Cu 2.810 1.894 7.348
Se 4.215 5.683 0.046
K 1.365 5.683 5.927
Nb 2.809 5.683 2.069
Se 4.249 5.683 4.004
Se 1.403 1.894 9.312
Cu 2.712 0.000 0.000
Cu 2.712 3.789 0.000
Se -1.424 3.869 7.348
Nb -0.003 1.894 7.289
Se 1.388 3.709 2.010
Se 1.438 1.894 5.355
K 4.177 1.894 3.431
Cu -0.002 5.683 2.010
```


Record 3
Density functional theory data (PBEsol) for a relaxed KNd2CuS4 crystal.

Summary:
Magnetization, μB/cell: 0.00
SG: Cmcm (63)

```
16
Lattice="-2.979 2.618 0.577 0.446 -1.002 -7.067 -8.990 -10.430 0.911" Properties=species:S:1:pos:R:3 pbc="T T T"
S -4.495 -5.215 0.455
S -9.922 -7.759 -2.106
S -7.641 -7.558 -5.157
S -3.997 -3.836 -3.230
Nd -2.330 0.744 -1.484
Cu -8.937 -6.306 -3.608
Nd -5.815 -5.639 -4.437
S -7.526 -4.978 -2.348
Nd -5.707 -3.175 -1.142
Nd -9.193 -9.558 -4.095
K -6.965 -7.757 -0.764
K -4.557 -1.057 -4.815
S -1.600 -1.055 -3.473
Cu -2.586 -2.508 -1.971
S -3.881 -1.256 -0.421
S 0.000 0.000 0.000
```


Record 4
Density functional theory data (PBEsol) for a relaxed K3Cu5O4 crystal.

Summary:
Magnetization, μB/cell: 0.00
SG: P2_1/c (14)

```
48
Lattice="7.090 0.000 0.000 0.000 9.438 -0.025 0.000 -4.080 13.046" Properties=species:S:1:pos:R:3 pbc="T T T"
K 0.504 5.929 1.371
O 1.099 -0.289 5.048
Cu 4.703 7.784 3.287
O 6.552 3.246 1.263
K 2.354 6.829 5.283
O 3.087 4.368 1.602
O 1.228 8.957 1.386
Cu 6.792 3.992 8.103
K 1.882 2.154 1.105
O 4.002 0.990 11.419
Cu 0.625 6.308 7.992
K 5.427 5.244 5.393
O 6.632 3.031 4.896
O 0.457 2.328 8.125
Cu 0.464 2.221 9.948
O 5.991 5.647 7.974
O 4.643 7.687 1.450
Cu 5.811 1.723 7.954
O 4.083 1.206 7.786
Cu 3.247 -0.673 11.442
K 4.736 -1.471 7.739
K 3.041 3.889 7.895
O 2.317 6.917 7.909
Cu 3.081 4.261 3.425
Cu 0.298 1.367 4.919
Cu 1.158 -0.386 3.211
K 6.585 -0.571 11.650
Cu 2.920 8.348 1.469
K 1.191 4.789 11.806
O 0.538 2.112 11.758
Cu 4.008 1.097 9.596
O 4.773 -1.559 5.112
O 3.007 4.152 5.235
Cu 1.279 3.635 5.067
Cu 4.170 -2.990 11.552
K 1.663 0.114 7.628
K 5.899 0.569 1.216
Cu 5.931 5.744 9.810
Cu 3.843 6.032 1.579
Cu 2.386 -2.426 9.734
K 4.049 1.470 5.127
Cu 2.266 1.595 11.590
O 2.446 -2.329 11.571
K 5.208 3.204 11.916
Cu 4.824 3.763 1.431
Cu 6.626 3.137 3.073
Cu 6.464 -0.950 5.029
O 5.862 -3.599 11.635
```


| no. | total energy (eV per cell) |
| --- | --- |
| 1 | -80.008 |
| 2 | -83.155 |
| 3 | -93.137 |
| 4 | -223.726 |